No. 1
Er3FePb after structural relaxation, computed with PBE.

CIF file:
```
data_Er3FePb
_chemical_formula_sum 'Er3 Fe1 Pb1'
_symmetry_space_group_name_H-M 'P m -3 m'
_symmetry_Int_Tables_number 221
_symmetry_space_group_name_Hall '-P 4 2 3'
_cell_length_a 5.099
_cell_length_b 5.099
_cell_length_c 5.099
_cell_angle_alpha 90.00
_cell_angle_beta 90.00
_cell_angle_gamma 90.00
loop_
_atom_site_label
_atom_site_type_symbol
_atom_site_fract_x
_atom_site_fract_y
_atom_site_fract_z
_atom_site_occupancy
Er1 Er 0.000 0.000 0.500 1
Fe1 Fe 0.000 0.000 0.000 1
Pb1 Pb 0.500 0.500 0.500 1
```

Computed properties:
Crystal system: cubic
ΔH_f (0 K), eV per atom: -0.095
Total DFT energy (no corrections), eV for the cell shown: -26.3
Magnetization, μB/atom: 0.000
ΔE to the lowest computed polymorph, meV per atom: 148

=====

No. 2
Na2B4Pt5 after structural relaxation, computed with PBE.

CIF file:
```
data_Na2B4Pt5
_chemical_formula_sum 'Na4 B8 Pt10'
_symmetry_space_group_name_H-M 'C 1 2/m 1'
_symmetry_Int_Tables_number 12
_cell_length_a 10.200
_cell_length_b 5.522
_cell_length_c 7.254
_cell_angle_alpha 90.00
_cell_angle_beta 125.77
_cell_angle_gamma 90.00
loop_
_symmetry_equiv_pos_as_xyz
'x,y,z'
'-x,-y,-z'
'-x,y,-z'
'x,-y,z'
'x+1/2,y+1/2,z'
'-x+1/2,-y+1/2,-z'
'-x+1/2,y+1/2,-z'
'x+1/2,-y+1/2,z'
loop_
_atom_site_label
_atom_site_type_symbol
_atom_site_fract_x
_atom_site_fract_y
_atom_site_fract_z
_atom_site_occupancy
Na1 Na 0.208 0.000 0.111 1
B1 B 0.095 0.000 0.634 1
B2 B 0.227 0.500 0.326 1
Pt1 Pt 0.000 0.500 0.000 1
Pt2 Pt 0.077 0.262 0.384 1
```

Computed properties:
Crystal system: monoclinic
ΔH_f (0 K), eV per atom: -0.199
Total DFT energy (no corrections), eV for the cell shown: -123.5
Magnetization, μB/atom: 0.000

=====

No. 3
Y6GeS5 after structural relaxation, computed with PBE.

CIF file:
```
data_Y6GeS5
_chemical_formula_sum 'Y12 Ge2 S10'
_symmetry_space_group_name_H-M 'C 1 2/m 1'
_symmetry_Int_Tables_number 12
_cell_length_a 6.863
_cell_length_b 11.878
_cell_length_c 6.881
_cell_angle_alpha 90.00
_cell_angle_beta 109.31
_cell_angle_gamma 90.00
loop_
_symmetry_equiv_pos_as_xyz
'x,y,z'
'-x,-y,-z'
'-x,y,-z'
'x,-y,z'
'x+1/2,y+1/2,z'
'-x+1/2,-y+1/2,-z'
'-x+1/2,y+1/2,-z'
'x+1/2,-y+1/2,z'
loop_
_atom_site_label
_atom_site_type_symbol
_atom_site_fract_x
_atom_site_fract_y
_atom_site_fract_z
_atom_site_occupancy
Y1 Y 0.250 0.000 0.249 1
Y2 Y 0.250 0.167 0.750 1
Ge1 Ge 0.000 0.500 0.000 1
S1 S 0.000 0.000 0.500 1
S2 S 0.000 0.167 0.000 1
S3 S 0.000 0.334 0.500 1
```

Computed properties:
Crystal system: monoclinic
Total DFT energy (no corrections), eV for the cell shown: -172.6
Magnetization, μB/atom: 0.000

=====

No. 4
K8Br5Cl3 after structural relaxation, computed with PBE.

CIF file:
```
data_K8Br5Cl3
_chemical_formula_sum 'K24 Br15 Cl9'
_symmetry_space_group_name_H-M 'R -3 m'
_symmetry_Int_Tables_number 166
_symmetry_space_group_name_Hall '-R 3 2"'
_cell_length_a 9.2720
_cell_length_b 9.2720
_cell_length_c 22.9498
_cell_angle_alpha 90.00
_cell_angle_beta 90.00
_cell_angle_gamma 120.00
loop_
_atom_site_label
_atom_site_type_symbol
_atom_site_fract_x
_atom_site_fract_y
_atom_site_fract_z
_atom_site_occupancy
K1 K 0.0000 0.0000 0.2457 1
K2 K 0.0055 0.5028 0.7529 1
Br1 Br 0.0000 0.0000 0.0000 1
Br2 Br 0.0000 0.0000 0.5000 1
Br3 Br 0.0000 0.5000 0.0000 1
Cl1 Cl 0.0000 0.5000 0.5000 1
```

Computed properties:
Crystal system: trigonal
Total DFT energy (no corrections), eV for the cell shown: -155.6
Magnetization, μB/atom: 0.000